Record 1
NpBiI: relaxed, PBE.

a = 5.4012 Å, b = 5.4012 Å, c = 3.6224 Å
α = 90.00°, β = 90.00°, γ = 120.00°
Closest atoms and distances in Å follow each position.
Space group P-6m2 (No. 187)
One atom of each set of equivalent atoms:
1 Np 0.0000 0.0000 0.0000 (multiplicity 1)  3 I 3.12
2 Bi 0.6667 0.3333 0.5000 (multiplicity 1)  6 Np 3.61, 6 I 3.61, 2 Bi 3.62
3 I 0.3333 0.6667 0.0000 (multiplicity 1)  3 Np 3.12

Properties
- Mass density: 10.39 g cm⁻³
- Fermi-level density of states: 10.876 states/eV/cell
- Relative energy among the computed polymorphs: 0.2011 eV per atom
- Final energy: -6.111 eV/atom

---

Record 2
NpBi2I: relaxed, PBE.

a = 4.2591 Å, b = 4.2591 Å, c = 7.2993 Å
α = 90.00°, β = 90.00°, γ = 90.00°
Closest atoms and distances in Å follow each position.
Space group P4/mmm (No. 123)
One atom of each set of equivalent atoms:
1 Np 0.0000 0.0000 0.0000 (multiplicity 1)  8 Bi 3.36, 2 I 3.65
2 Bi 0.5000 0.5000 0.2040 (multiplicity 2)  1 Bi 2.98
3 I 0.0000 0.0000 0.5000 (multiplicity 1)  2 Np 3.65, 8 Bi 3.71

Properties
- Mass density: 9.81 g cm⁻³
- Fermi-level density of states: 9.830 states/eV/cell
- Final energy: -5.567 eV/atom

---

Record 3
NpBiI6: relaxed, PBE.

a = 7.6744 Å, b = 14.1195 Å, c = 7.6751 Å
α = 90.00°, β = 107.89°, γ = 90.00°
Closest atoms and distances in Å follow each position.
Space group C2/m (No. 12)
One atom of each set of equivalent atoms:
1 Np 0.0000 0.0000 0.0000 (multiplicity 2)  6 I 3.06-3.12
2 Bi 0.0000 0.5000 0.5000 (multiplicity 2)  6 I 3.11-3.14
3 I 0.2442 0.0000 0.7505 (multiplicity 4)  1 Np 3.06, 1 Bi 3.14
4 I 0.2471 0.3479 0.7508 (multiplicity 8)  1 Bi 3.11, 1 Np 3.12

Properties
- Mass density: 5.07 g cm⁻³
- Fermi-level density of states: 8.931 states/eV/cell
- Relative energy among the computed polymorphs: 0.0000 eV per atom
- Final energy: -3.877 eV/atom

---

Record 4
NpBiI6: relaxed, PBE.

a = 7.6925 Å, b = 7.6925 Å, c = 21.2074 Å
α = 90.00°, β = 90.00°, γ = 120.00°
Closest atoms and distances in Å follow each position.
Space group R-3 (No. 148, hexagonal axes)
One atom of each set of equivalent atoms:
1 Np 0.0000 0.0000 0.0000 (multiplicity 3)  6 I 3.10
2 Bi 0.0000 0.0000 0.5000 (multiplicity 3)  6 I 3.13
3 I 0.0006 0.6640 0.5832 (multiplicity 18)  1 Np 3.10, 1 Bi 3.13

Properties
- Mass density: 5.53 g cm⁻³
- Fermi-level density of states: 13.555 states/eV/cell
- Relative energy among the computed polymorphs: 0.0128 eV per atom
- Final energy: -3.864 eV/atom

---

Record 5
NpBiIO6: relaxed, PBE.

a = 5.7710 Å, b = 5.7710 Å, c = 9.8151 Å
α = 90.00°, β = 90.00°, γ = 120.00°
Closest atoms and distances in Å follow each position.
Space group P-31c (No. 163)
One atom of each set of equivalent atoms:
1 Np 0.3333 0.6667 0.2500 (multiplicity 2)  6 O 2.23
2 Bi 0.0000 0.0000 0.0000 (multiplicity 2)  6 O 2.42
3 I 0.3333 0.6667 0.7500 (multiplicity 2)  6 O 2.14
4 O 0.0122 0.3567 0.6357 (multiplicity 12)  1 I 2.14, 1 Np 2.23

Properties
- Mass density: 7.85 g cm⁻³
- Fermi-level density of states: 22.250 states/eV/cell
- Final energy: -6.683 eV/atom

---

Record 6
BiIO6: relaxed, PBE.

a = 5.2009 Å, b = 5.2009 Å, c = 13.7478 Å
α = 90.00°, β = 90.00°, γ = 120.00°
Closest atoms and distances in Å follow each position.
Space group R-3 (No. 148, hexagonal axes)
One atom of each set of equivalent atoms:
1 Bi 0.0000 0.0000 0.0000 (multiplicity 3)  6 O 2.17
2 I 0.0000 0.0000 0.5000 (multiplicity 3)  6 O 1.91
3 O 0.0045 0.6988 0.5778 (multiplicity 18)  1 I 1.91

Properties
- Mass density: 6.68 g cm⁻³
- Relative energy among the computed polymorphs: 0.0000 eV per atom
- Final energy: -4.713 eV/atom

---

Record 7
BiIO3: relaxed, PBE.

a = 4.3271 Å, b = 4.3271 Å, c = 4.3271 Å
α = 90.00°, β = 90.00°, γ = 90.00°
Closest atoms and distances in Å follow each position.
Space group Pm-3m (No. 221)
One atom of each set of equivalent atoms:
1 Bi 0.0000 0.0000 0.0000 (multiplicity 1)  6 O 2.16
2 I 0.5000 0.5000 0.5000 (multiplicity 1)  12 O 3.06
3 O 0.0000 0.0000 0.5000 (multiplicity 3)  2 Bi 2.16

Properties
- Mass density: 7.87 g cm⁻³
- Fermi-level density of states: 5.909 states/eV/cell
- Final energy: -4.105 eV/atom

---

Record 8
BiIO6: relaxed, PBE.

a = 8.7810 Å, b = 6.7135 Å, c = 8.6141 Å
α = 90.00°, β = 93.02°, γ = 90.00°
Closest atoms and distances in Å follow each position.
Space group C2/c (No. 15)
One atom of each set of equivalent atoms:
1 Bi 0.0000 0.0013 0.2500 (multiplicity 4)  4 O 2.29-2.51
2 I 0.2500 0.2500 0.5000 (multiplicity 4)  6 O 1.88-1.91
3 O 0.0744 0.3485 0.5894 (multiplicity 8)  1 I 1.88
4 O 0.1580 0.0058 0.0161 (multiplicity 8)  1 I 1.91
5 O 0.1585 0.2690 0.2962 (multiplicity 8)  1 I 1.90

Properties
- Mass density: 5.66 g cm⁻³
- Fermi-level density of states: 8.339 states/eV/cell
- Relative energy among the computed polymorphs: 0.1373 eV per atom
- Final energy: -4.576 eV/atom

---

Record 9
BiI2O: relaxed, PBE.

a = 7.4606 Å, b = 7.4606 Å, c = 7.4606 Å
α = 90.00°, β = 90.00°, γ = 90.00°
Closest atoms and distances in Å follow each position.
Space group Fm-3m (No. 225)
One atom of each set of equivalent atoms:
1 Bi 0.0000 0.0000 0.0000 (multiplicity 4)  8 I 3.23
2 I 0.2500 0.2500 0.2500 (multiplicity 8)  4 Bi 3.23, 4 O 3.23
3 O 0.0000 0.0000 0.5000 (multiplicity 4)  8 I 3.23

Properties
- Mass density: 7.66 g cm⁻³
- Fermi-level density of states: 31.685 states/eV/cell
- Relative energy among the computed polymorphs: 0.8667 eV per atom
- Final energy: -2.548 eV/atom

---

Record 10
Bi2I3O: relaxed, PBE.

a = 19.6796 Å, b = 4.1480 Å, c = 13.4339 Å
α = 90.00°, β = 122.69°, γ = 90.00°
Closest atoms and distances in Å follow each position.
Space group C2/m (No. 12)
One atom of each set of equivalent atoms:
1 Bi 0.0908 0.0000 0.0218 (multiplicity 4)  1 O 2.25
2 Bi 0.1499 0.5000 0.3038 (multiplicity 4)  2 O 2.34
3 I 0.0348 0.5000 0.7960 (multiplicity 4)  3 Bi 3.12-3.33
4 I 0.1549 0.0000 0.4986 (multiplicity 4)  3 Bi 3.28-3.30, 1 O 3.58
5 I 0.2373 0.5000 0.1461 (multiplicity 4)  3 Bi 3.19-3.37, 2 O 3.48
6 O 0.1234 0.0000 0.2100 (multiplicity 4)  3 Bi 2.25-2.34

Properties
- Mass density: 5.86 g cm⁻³
- Fermi-level density of states: 0.983 states/eV/cell
- Final energy: -3.404 eV/atom

---

Record 11
BiI3O9: relaxed, PBE.

a = 8.9759 Å, b = 6.1484 Å, c = 17.0374 Å
α = 90.00°, β = 114.97°, γ = 90.00°
Closest atoms and distances in Å follow each position.
Space group P2_1/c (No. 14)
One atom of each set of equivalent atoms:
1 Bi 0.1542 0.2118 0.1054 (multiplicity 4)  7 O 2.41-2.50
2 I 0.0685 0.1814 0.3553 (multiplicity 4)  3 O 1.82-1.86
3 I 0.3568 0.6391 0.5201 (multiplicity 4)  3 O 1.85-1.86
4 I 0.4144 0.6009 0.8014 (multiplicity 4)  3 O 1.83-1.85
5 O 0.0615 0.0573 0.6951 (multiplicity 4)  1 I 1.85
6 O 0.1005 0.6168 0.6709 (multiplicity 4)  1 I 1.86
7 O 0.1095 0.1062 0.4660 (multiplicity 4)  1 I 1.82
8 O 0.1340 0.6081 0.4904 (multiplicity 4)  1 I 1.85
9 O 0.3346 0.5884 0.8839 (multiplicity 4)  1 I 1.83
10 O 0.3455 0.1723 0.2548 (multiplicity 4)  1 I 1.85
11 O 0.3570 0.0799 0.9446 (multiplicity 4)  1 I 1.86
12 O 0.3704 0.0135 0.6343 (multiplicity 4)  1 I 1.85
13 O 0.4040 0.0241 0.1196 (multiplicity 4)  1 I 1.86

Properties
- Mass density: 5.72 g cm⁻³
- Fermi-level density of states: 0.000 states/eV/cell
- Final energy: -4.602 eV/atom

---

Record 12
BiIO: relaxed, PBE.

a = 3.8932 Å, b = 3.8932 Å, c = 6.6184 Å
α = 90.00°, β = 90.00°, γ = 120.00°
Closest atoms and distances in Å follow each position.
Space group P3m1 (No. 156)
One atom of each set of equivalent atoms:
1 Bi 0.0000 0.0000 0.0000 (multiplicity 1)  3 O 2.35
2 I 0.6667 0.3333 0.3479 (multiplicity 1)  3 Bi 3.22
3 O 0.3333 0.6667 0.8986 (multiplicity 1)  3 Bi 2.35

Properties
- Mass density: 6.73 g cm⁻³
- Fermi-level density of states: 0.000 states/eV/cell
- Relative energy among the computed polymorphs: 0.2625 eV per atom
- Final energy: -4.171 eV/atom